Material: CuTc4Sn2
Method: DFT, GGA-PBE
State: optimized geometry

Cell and atoms, written as POSCAR:
```
CuTc4Sn2
1.0
4.440 0.000 0.000
0.000 4.440 0.000
2.220 2.220 6.856
Cu Sn Tc
1 2 4
direct
0.000 0.000 0.000
0.632 0.632 0.736
0.368 0.368 0.264
0.500 0.000 0.000
0.827 0.827 0.345
0.000 0.500 0.000
0.173 0.173 0.655
```

Results
* formation enthalpy at 0 K: 26.27 kcal/mol of atoms
* Fermi-level density of states: 1.429 states/eV/atom

***

Material: CuTcSn3
Method: DFT, GGA-PBE
State: optimized geometry

Cell and atoms, written as POSCAR:
```
CuTcSn3
1.0
-4.319 0.685 -2.736
-1.732 -4.594 1.583
-2.227 2.244 4.076
Sn Tc Cu
3 1 1
direct
0.500 0.000 0.000
0.000 0.000 0.500
0.000 0.500 0.000
0.000 0.000 0.000
0.500 0.500 0.500
```

Results
* formation enthalpy at 0 K: 9.97 kcal/mol of atoms
* energy relative to the lowest polymorph listed for this composition: 27.4 kJ/mol of atoms
* Fermi-level density of states: 0.001 states/eV/atom

***

Material: Cu2TcSn8
Method: DFT, GGA-PBE
State: optimized geometry

Cell and atoms, written as POSCAR:
```
Cu2TcSn8
1.0
-3.940 -2.691 -0.258
2.671 -2.903 -10.516
3.207 -1.134 7.125
Sn Tc Cu
8 1 2
direct
0.349 0.075 0.698
0.651 0.378 0.302
0.349 0.622 0.698
0.848 0.848 0.697
0.651 0.925 0.302
0.000 0.366 0.000
0.000 0.634 0.000
0.152 0.152 0.303
0.500 0.000 0.000
0.775 0.275 0.550
0.225 0.725 0.450
```

Results
* formation enthalpy at 0 K: 3.34 kcal/mol of atoms
* Fermi-level density of states: 0.611 states/eV/atom

***

Material: CuTcSn3
Method: DFT, GGA-PBE
State: optimized geometry

Cell and atoms, written as POSCAR:
```
CuTcSn3
1.0
6.383 0.000 0.000
3.191 5.528 0.000
3.191 1.843 6.223
Cu Sn Tc
2 6 2
direct
0.826 0.826 0.521
0.174 0.174 0.479
0.393 0.114 0.742
0.114 0.750 0.742
0.750 0.393 0.742
0.607 0.886 0.258
0.250 0.607 0.258
0.886 0.250 0.258
0.674 0.674 0.978
0.326 0.326 0.022
```

Results
* formation enthalpy at 0 K: 3.41 kcal/mol of atoms
* energy relative to the lowest polymorph listed for this composition: 0.0 kJ/mol of atoms
* Fermi-level density of states: 0.689 states/eV/atom

***

Material: CuTcSn
Method: DFT, GGA-PBE
State: optimized geometry

Cell and atoms, written as POSCAR:
```
CuTcSn
1.0
2.839 0.000 0.000
0.000 4.415 0.000
0.000 -2.207 3.823
Cu Tc Sn
1 1 1
direct
0.833 0.000 0.000
0.333 0.333 0.667
0.834 0.667 0.333
```

Results
* formation enthalpy at 0 K: 6.37 kcal/mol of atoms
* Fermi-level density of states: 0.749 states/eV/atom

***

Material: Cu2TcSn4
Method: DFT, GGA-PBE
State: optimized geometry

Cell and atoms, written as POSCAR:
```
Cu2TcSn4
1.0
5.236 0.000 0.000
0.000 5.236 0.000
2.618 2.618 6.332
Sn Cu Tc
4 2 1
direct
0.205 0.205 0.589
0.500 0.000 0.000
0.000 0.500 0.000
0.795 0.795 0.411
0.405 0.405 0.189
0.595 0.595 0.811
0.000 0.000 0.000
```

Results
* formation enthalpy at 0 K: 8.12 kcal/mol of atoms
* Fermi-level density of states: 0.835 states/eV/atom